(1)
Compound: Ce3Al8Zn3
Source: the Alexandria database
Functional: PBE
Structure: relaxed

Formation energy   -0.33 eV/atom
Final energy   -4.009 eV per atom
Space group   Immm
Size of the total moment   2.15 μB per formula unit

a b c (Å): 8.3400 8.3400 8.3400
angles (deg): 149.57 106.20 81.88
Closest atoms and distances in Å follow each position.
Positions (direct):
Ce 0.0000 0.0000 0.0000  12 Al 3.25-3.26
Ce 0.3095 0.3095 0.0000  8 Al 3.17-3.20, 4 Zn 3.19-3.25
Ce 0.6905 0.6905 0.0000  8 Al 3.17-3.20, 4 Zn 3.19-3.25
Al 0.0287 0.6608 0.3680  1 Zn 2.58, 4 Al 2.64-2.76
Al 0.1482 0.8686 0.2796  3 Al 2.67-2.76, 3 Zn 2.75-2.76
Al 0.2928 0.6608 0.6320  1 Zn 2.58, 4 Al 2.64-2.76
Al 0.4109 0.1314 0.2796  3 Al 2.67-2.76, 3 Zn 2.75-2.76
Al 0.5891 0.8686 0.7204  3 Al 2.67-2.76, 3 Zn 2.75-2.76
Al 0.7072 0.3392 0.3680  1 Zn 2.58, 4 Al 2.64-2.76
Al 0.8518 0.1314 0.7204  3 Al 2.67-2.76, 3 Zn 2.75-2.76
Al 0.9713 0.3392 0.6320  1 Zn 2.58, 4 Al 2.64-2.76
Zn 0.2909 0.5000 0.7909  6 Al 2.58-2.75
Zn 0.5000 0.0000 0.5000  4 Al 2.76, 4 Zn 3.03
Zn 0.7091 0.5000 0.2091  6 Al 2.58-2.75

***

(2)
Compound: PuMgZnCd
Source: the Alexandria database
Functional: PBE
Structure: relaxed

Formation energy   -0.05 eV/atom
Final energy   -4.584 eV per atom
Space group   F-43m
Size of the total moment   5.62 μB per formula unit

a b c (Å): 7.1097 7.1097 7.1097
angles (deg): 90.00 90.00 90.00
Closest atoms and distances in Å follow each position.
Positions (direct):
Pu 0.0000 0.0000 0.0000  4 Cd 3.08, 4 Zn 3.08
Pu 0.0000 0.5000 0.5000  4 Zn 3.08, 4 Cd 3.08
Pu 0.5000 0.0000 0.5000  4 Zn 3.08, 4 Cd 3.08
Pu 0.5000 0.5000 0.0000  4 Zn 3.08, 4 Cd 3.08
Mg 0.0000 0.0000 0.5000  4 Cd 3.08, 4 Zn 3.08
Mg 0.0000 0.5000 0.0000  4 Cd 3.08, 4 Zn 3.08
Mg 0.5000 0.0000 0.0000  4 Cd 3.08, 4 Zn 3.08
Mg 0.5000 0.5000 0.5000  4 Cd 3.08, 4 Zn 3.08
Zn 0.2500 0.2500 0.7500  4 Mg 3.08, 4 Pu 3.08
Zn 0.2500 0.7500 0.2500  4 Mg 3.08, 4 Pu 3.08
Zn 0.7500 0.2500 0.2500  4 Mg 3.08, 4 Pu 3.08
Zn 0.7500 0.7500 0.7500  4 Mg 3.08, 4 Pu 3.08
Cd 0.2500 0.2500 0.2500  4 Mg 3.08, 4 Pu 3.08
Cd 0.2500 0.7500 0.7500  4 Mg 3.08, 4 Pu 3.08
Cd 0.7500 0.2500 0.7500  4 Mg 3.08, 4 Pu 3.08
Cd 0.7500 0.7500 0.2500  4 Mg 3.08, 4 Pu 3.08

***

Question: Look up the formation energy of the first one.
Answer: -0.33 eV/atom

***

Question: Which value of size of the total moment does entry 1 give?
Answer: 2.15 μB per formula unit